<i>
This record from the Alexandria database describes a relaxed Na3Tl4Hg4 crystal. The functional is GGA-PBE.

Output
**Symmetry**: Amm2 (38)
**Spin magnetization**: 0.00 μB/cell

Cell: 10.952 5.982 5.982 Å, 52.68 90.00 90.00°
Fractional positions:
Na  0.000  0.000  0.000
Na  0.324  0.130  0.130
Na  0.676  0.130  0.130
Tl  0.000  0.313  0.313
Tl  0.255  0.822  0.822
Tl  0.500  0.384  0.384
Tl  0.745  0.822  0.822
Hg  0.000  0.666  0.666
Hg  0.228  0.493  0.493
Hg  0.500  0.680  0.680
Hg  0.772  0.493  0.493

<ii>
This record from the Alexandria database describes a relaxed Na3Tl4Hg4 crystal. The functional is GGA-PBE.

Output
**Symmetry**: Immm (71)
**Spin magnetization**: 0.00 μB/cell

Cell: 17.574 17.574 17.574 Å, 168.68 163.09 20.39°
Fractional positions:
Na  0.000  0.000  0.000
Na  0.366  0.866  0.500
Na  0.634  0.134  0.500
Tl  0.089  0.589  0.500
Tl  0.272  0.272  0.000
Tl  0.728  0.728  0.000
Tl  0.911  0.411  0.500
Hg  0.177  0.677  0.500
Hg  0.457  0.457  0.000
Hg  0.543  0.543  0.000
Hg  0.823  0.323  0.500

How far above the most stable structure does each one sit? In meV per atom: <i> 6; <ii> 0.

<i>
This record from the Alexandria database describes a relaxed Na2Tl7Hg2 crystal. The functional is GGA-PBE.

Output
**Symmetry**: C2/m (12)
**Spin magnetization**: 0.00 μB/cell

Cell: 6.076 6.076 9.383 Å, 91.82 91.82 109.58°
Fractional positions:
Na  0.232  0.768  0.000
Na  0.768  0.232  0.000
Tl  0.065  0.680  0.645
Tl  0.242  0.242  0.785
Tl  0.320  0.935  0.355
Tl  0.500  0.500  0.500
Tl  0.680  0.065  0.645
Tl  0.758  0.758  0.215
Tl  0.935  0.320  0.355
Hg  0.298  0.298  0.123
Hg  0.702  0.702  0.877

<ii>
This record from the Alexandria database describes a relaxed Na2Tl7Hg2 crystal. The functional is GGA-PBE.

Output
**Symmetry**: Imm2 (44)
**Spin magnetization**: 0.00 μB/cell

Cell: 8.978 8.978 8.978 Å, 147.52 68.03 122.04°
Fractional positions:
Na  0.000  0.000  0.000
Na  0.675  0.175  0.500
Tl  0.120  0.277  0.844
Tl  0.136  0.486  0.650
Tl  0.290  0.790  0.500
Tl  0.433  0.277  0.156
Tl  0.559  0.716  0.843
Tl  0.836  0.486  0.350
Tl  0.873  0.716  0.157
Hg  0.312  0.002  0.310
Hg  0.692  0.002  0.690

How far above the most stable structure does each one sit? In meV per atom: <i> 0; <ii> 8.

<i>
This record from the Alexandria database describes a relaxed Na5TlHg2 crystal. The functional is GGA-PBE.

Output
**Symmetry**: Cmcm (63)
**Spin magnetization**: 0.00 μB/cell

Cell: 8.136 8.136 18.980 Å, 90.00 90.00 156.54°
Fractional positions:
Na  0.029  0.971  0.644
Na  0.029  0.971  0.856
Na  0.143  0.857  0.250
Na  0.256  0.744  0.591
Na  0.256  0.744  0.909
Na  0.744  0.256  0.091
Na  0.744  0.256  0.409
Na  0.857  0.143  0.750
Na  0.971  0.029  0.144
Na  0.971  0.029  0.356
Tl  0.180  0.820  0.750
Tl  0.820  0.180  0.250
Hg  0.096  0.904  0.014
Hg  0.096  0.904  0.486
Hg  0.904  0.096  0.514
Hg  0.904  0.096  0.986

<ii>
This record from the Alexandria database describes a relaxed Na5TlHg2 crystal. The functional is GGA-PBE.

Output
**Symmetry**: I4/mcm (140)
**Spin magnetization**: 0.00 μB/cell

Cell: 9.154 9.154 9.154 Å, 126.84 126.84 78.52°
Fractional positions:
Na  0.000  0.000  0.000
Na  0.013  0.513  0.827
Na  0.186  0.013  0.500
Na  0.314  0.814  0.827
Na  0.487  0.314  0.500
Na  0.500  0.500  0.000
Na  0.513  0.686  0.500
Na  0.686  0.186  0.173
Na  0.814  0.987  0.500
Na  0.987  0.487  0.173
Tl  0.250  0.250  0.000
Tl  0.750  0.750  0.000
Hg  0.134  0.366  0.500
Hg  0.366  0.866  0.233
Hg  0.634  0.134  0.767
Hg  0.866  0.634  0.500

How far above the most stable structure does each one sit? In meV per atom: <i> 86; <ii> 0.

<i>
This record from the Alexandria database describes a relaxed Na8Tl6Hg crystal. The functional is GGA-PBE.

Output
**Symmetry**: R-3 (148)
**Spin magnetization**: 0.00 μB/cell

Cell: 8.468 8.468 8.468 Å, 65.52 65.52 65.52°
Fractional positions:
Na  0.047  0.716  0.382
Na  0.166  0.166  0.166
Na  0.284  0.618  0.953
Na  0.382  0.047  0.716
Na  0.618  0.953  0.284
Na  0.716  0.382  0.047
Na  0.834  0.834  0.834
Na  0.953  0.284  0.618
Tl  0.129  0.453  0.777
Tl  0.223  0.871  0.547
Tl  0.453  0.777  0.129
Tl  0.547  0.223  0.871
Tl  0.777  0.129  0.453
Tl  0.871  0.547  0.223
Hg  0.500  0.500  0.500

<ii>
This record from the Alexandria database describes a relaxed Na8Tl6Hg crystal. The functional is GGA-PBE.

Output
**Symmetry**: R-3 (148)
**Spin magnetization**: 0.00 μB/cell

Cell: 8.451 8.451 8.451 Å, 61.99 61.99 61.99°
Fractional positions:
Na  0.090  0.090  0.090
Na  0.166  0.643  0.342
Na  0.342  0.166  0.643
Na  0.357  0.658  0.834
Na  0.643  0.342  0.166
Na  0.658  0.834  0.357
Na  0.834  0.357  0.658
Na  0.910  0.910  0.910
Tl  0.009  0.458  0.201
Tl  0.201  0.009  0.458
Tl  0.458  0.201  0.009
Tl  0.542  0.799  0.991
Tl  0.799  0.991  0.542
Tl  0.991  0.542  0.799
Hg  0.500  0.500  0.500

How far above the most stable structure does each one sit? In meV per atom: <i> 9; <ii> 0.

<i>
This record from the Alexandria database describes a relaxed Na2TlHg2 crystal. The functional is GGA-PBE.

Output
**Symmetry**: C2/m (12)
**Spin magnetization**: 0.00 μB/cell

Cell: 5.187 5.187 6.090 Å, 91.08 91.08 114.70°
Fractional positions:
Na  0.174  0.826  0.000
Na  0.826  0.174  0.000
Tl  0.000  0.000  0.500
Hg  0.486  0.486  0.246
Hg  0.514  0.514  0.754

<ii>
This record from the Alexandria database describes a relaxed Na2TlHg2 crystal. The functional is GGA-PBE.

Output
**Symmetry**: P4/mbm (127)
**Spin magnetization**: 0.00 μB/cell

Cell: 8.987 8.987 3.403 Å, 90.00 90.00 90.00°
Fractional positions:
Na  0.139  0.361  0.000
Na  0.361  0.861  0.000
Na  0.639  0.139  0.000
Na  0.861  0.639  0.000
Tl  0.000  0.000  0.000
Tl  0.500  0.500  0.000
Hg  0.157  0.657  0.500
Hg  0.343  0.157  0.500
Hg  0.657  0.843  0.500
Hg  0.843  0.343  0.500

How far above the most stable structure does each one sit? In meV per atom: <i> 84; <ii> 0.

<i>
This record from the Alexandria database describes a relaxed Na2TlHg2 crystal. The functional is GGA-PBE.

Output
**Symmetry**: C2/m (12)
**Spin magnetization**: 0.00 μB/cell

Cell: 6.265 6.265 9.608 Å, 104.98 104.98 48.85°
Fractional positions:
Na  0.052  0.052  0.353
Na  0.164  0.164  0.048
Na  0.836  0.836  0.952
Na  0.948  0.948  0.647
Tl  0.265  0.265  0.709
Tl  0.735  0.735  0.291
Hg  0.368  0.368  0.419
Hg  0.455  0.455  0.136
Hg  0.545  0.545  0.864
Hg  0.632  0.632  0.581

<ii>
This record from the Alexandria database describes a relaxed Na2TlHg2 crystal. The functional is GGA-PBE.

Output
**Symmetry**: I4/mmm (139)
**Spin magnetization**: 0.00 μB/cell

Cell: 7.844 7.844 7.844 Å, 146.37 146.37 48.30°
Fractional positions:
Na  0.250  0.750  0.500
Na  0.750  0.250  0.500
Tl  0.000  0.000  0.000
Hg  0.398  0.398  0.000
Hg  0.602  0.602  0.000

How far above the most stable structure does each one sit? In meV per atom: <i> 0; <ii> 102.

<i>
This record from the Alexandria database describes a relaxed Na4Tl3Hg4 crystal. The functional is GGA-PBE.

Output
**Symmetry**: Immm (71)
**Spin magnetization**: 0.00 μB/cell

Cell: 11.350 11.350 11.350 Å, 161.22 137.07 47.23°
Fractional positions:
Na  0.190  0.000  0.190
Na  0.250  0.250  0.000
Na  0.750  0.750  0.000
Na  0.810  0.000  0.810
Tl  0.113  0.613  0.500
Tl  0.500  0.500  0.000
Tl  0.887  0.387  0.500
Hg  0.168  0.854  0.314
Hg  0.461  0.146  0.314
Hg  0.539  0.854  0.686
Hg  0.832  0.146  0.686

<ii>
This record from the Alexandria database describes a relaxed Na4Tl3Hg4 crystal. The functional is GGA-PBE.

Output
**Symmetry**: Immm (71)
**Spin magnetization**: 0.00 μB/cell

Cell: 10.646 10.646 10.646 Å, 160.42 127.80 56.28°
Fractional positions:
Na  0.038  0.842  0.196
Na  0.354  0.158  0.196
Na  0.646  0.842  0.804
Na  0.962  0.158  0.804
Tl  0.000  0.500  0.500
Tl  0.398  0.398  0.000
Tl  0.602  0.602  0.000
Hg  0.253  0.753  0.500
Hg  0.294  0.000  0.294
Hg  0.706  0.000  0.706
Hg  0.747  0.247  0.500

How far above the most stable structure does each one sit? In meV per atom: <i> 30; <ii> 0.

<i>
This record from the Alexandria database describes a relaxed Na3TlHg crystal. The functional is GGA-PBE.

Output
**Symmetry**: C2/m (12)
**Spin magnetization**: 0.00 μB/cell

Cell: 7.312 7.312 7.906 Å, 117.92 117.92 82.45°
Fractional positions:
Na  0.055  0.055  0.349
Na  0.058  0.439  0.208
Na  0.439  0.058  0.208
Na  0.561  0.942  0.792
Na  0.942  0.561  0.792
Na  0.945  0.945  0.651
Tl  0.436  0.436  0.647
Tl  0.564  0.564  0.353
Hg  0.294  0.294  0.884
Hg  0.706  0.706  0.116

<ii>
This record from the Alexandria database describes a relaxed Na3TlHg crystal. The functional is GGA-PBE.

Output
**Symmetry**: Pm-3m (221)
**Spin magnetization**: 0.00 μB/cell

Cell: 5.715 5.715 5.715 Å, 90.00 90.00 90.00°
Fractional positions:
Na  0.000  0.000  0.500
Na  0.000  0.500  0.000
Na  0.500  0.000  0.000
Tl  0.500  0.500  0.500
Hg  0.000  0.000  0.000

How far above the most stable structure does each one sit? In meV per atom: <i> 0; <ii> 118.